1.
# BeVP | Alexandria | PBE-GGA | relaxed
data_BeVP
_chemical_formula_sum 'Be4 V4 P4'
_cell_length_a 8.354
_cell_length_b 3.066
_cell_length_c 5.881
_cell_angle_alpha 90.00
_cell_angle_beta 103.22
_cell_angle_gamma 90.00
_symmetry_space_group_name_H-M 'C 1 2/m 1'
_symmetry_Int_Tables_number 12
loop_
_symmetry_equiv_pos_as_xyz
'x,y,z'
'-x,-y,-z'
'-x,y,-z'
'x,-y,z'
'x+1/2,y+1/2,z'
'-x+1/2,-y+1/2,-z'
'-x+1/2,y+1/2,-z'
'x+1/2,-y+1/2,z'
loop_
_atom_site_label
_atom_site_fract_x
_atom_site_fract_y
_atom_site_fract_z
Be1 0.152 0.000 0.478
V1 0.152 0.500 0.121
P1 0.060 0.000 0.800
# * crystal system: monoclinic
# * ΔE to the lowest computed polymorph: 0 meV/atom

***

2.
# Be2VP | Alexandria | PBE-GGA | relaxed
data_Be2VP
_chemical_formula_sum 'Be2 V1 P1'
_cell_length_a 3.457
_cell_length_b 3.457
_cell_length_c 3.390
_cell_angle_alpha 90.00
_cell_angle_beta 90.00
_cell_angle_gamma 90.00
_symmetry_space_group_name_H-M 'P 4/m m m'
_symmetry_Int_Tables_number 123
_symmetry_space_group_name_Hall '-P 4 2'
loop_
_atom_site_label
_atom_site_fract_x
_atom_site_fract_y
_atom_site_fract_z
Be1 0.000 0.500 0.000
V1 0.000 0.000 0.500
P1 0.500 0.500 0.500
# * crystal system: tetragonal
# * E: -0.209 hartree per atom

***

| no. | V (Å³/atom) | magnetic moment (Bohr magnetons per cell) |
| --- | --- | --- |
| 1 | 12.2 | 0.0 |
| 2 | 10.1 | 0.0 |